<w>
Entry from the Open Quantum Materials Database: Y2ErTm2Lu2Ni2Te2 after structural relaxation (GGA-PBE).

The volume is 561 Å³ per cell. The total magnetization is 0.04 μB per formula unit.

Cell: 3.821 15.464 9.497 Å, 90.00 90.00 90.00°
Space group Imm2 (No. 44)
Unique sites:
Y  0.000  0.132  0.000 (multiplicity 4)
Er  0.000  0.000  0.581 (multiplicity 2)
Tm  0.000  0.315  0.201 (multiplicity 4)
Lu  0.000  0.353  0.852 (multiplicity 4)
Ni  0.000  0.237  0.509 (multiplicity 4)
Te  0.000  0.000  0.247 (multiplicity 2)
Te  0.000  0.500  0.345 (multiplicity 2)

=====

<x>
Entry from the Open Quantum Materials Database: Y2ErTm2Lu2Ni2Te2 after structural relaxation (GGA-PBE).

The volume is 559 Å³ per cell. The total magnetization is 0.00 μB per formula unit.

Cell: 3.818 15.426 9.491 Å, 90.00 90.00 90.00°
Space group Imm2 (No. 44)
Unique sites:
Y  0.000  0.185  0.000 (multiplicity 4)
Er  0.000  0.500  0.377 (multiplicity 2)
Tm  0.000  0.147  0.648 (multiplicity 4)
Lu  0.000  0.367  0.796 (multiplicity 4)
Ni  0.000  0.260  0.303 (multiplicity 4)
Te  0.000  0.000  0.145 (multiplicity 2)
Te  0.000  0.500  0.039 (multiplicity 2)

=====

Quick one: most stable of them? <w>

=====

<w>
Entry from the Open Quantum Materials Database: YEr2Tm2Lu2Ni2Te2 after structural relaxation (GGA-PBE).

The volume is 560 Å³ per cell. The total magnetization is 0.01 μB per formula unit.

Cell: 3.823 15.440 9.478 Å, 90.00 90.00 90.00°
Space group Imm2 (No. 44)
Unique sites:
Y  0.000  0.000  0.000 (multiplicity 2)
Er  0.000  0.314  0.621 (multiplicity 4)
Tm  0.000  0.133  0.419 (multiplicity 4)
Lu  0.000  0.352  0.270 (multiplicity 4)
Ni  0.000  0.238  0.928 (multiplicity 4)
Te  0.000  0.000  0.664 (multiplicity 2)
Te  0.000  0.500  0.766 (multiplicity 2)

=====

<x>
Entry from the Open Quantum Materials Database: YEr2Tm2Lu2Ni2Te2 after structural relaxation (GGA-PBE).

The volume is 556 Å³ per cell. The total magnetization is 0.02 μB per formula unit.

Cell: 3.823 15.391 9.442 Å, 90.00 90.00 90.00°
Space group Imm2 (No. 44)
Unique sites:
Y  0.000  0.000  0.000 (multiplicity 2)
Er  0.000  0.134  0.418 (multiplicity 4)
Tm  0.000  0.352  0.270 (multiplicity 4)
Lu  0.000  0.314  0.621 (multiplicity 4)
Ni  0.000  0.237  0.929 (multiplicity 4)
Te  0.000  0.000  0.664 (multiplicity 2)
Te  0.000  0.500  0.765 (multiplicity 2)

=====

Quick one: most stable of them? <x>

=====

<w>
Entry from the Open Quantum Materials Database: YEr2Tm2Lu2Ni2Te2 after structural relaxation (GGA-PBE).

The volume is 555 Å³ per cell. The total magnetization is 0.01 μB per formula unit.

Cell: 3.817 15.391 9.443 Å, 90.00 90.00 90.00°
Space group Imm2 (No. 44)
Unique sites:
Y  0.000  0.000  0.000 (multiplicity 2)
Er  0.000  0.352  0.269 (multiplicity 4)
Tm  0.000  0.315  0.621 (multiplicity 4)
Lu  0.000  0.133  0.417 (multiplicity 4)
Ni  0.000  0.239  0.928 (multiplicity 4)
Te  0.000  0.000  0.662 (multiplicity 2)
Te  0.000  0.500  0.766 (multiplicity 2)

=====

<x>
Entry from the Open Quantum Materials Database: YEr2Tm2Lu2Ni2Te2 after structural relaxation (GGA-PBE).

The volume is 555 Å³ per cell. The total magnetization is 0.01 μB per formula unit.

Cell: 3.817 15.387 9.442 Å, 90.00 90.00 90.00°
Space group Imm2 (No. 44)
Unique sites:
Y  0.000  0.000  0.000 (multiplicity 2)
Er  0.000  0.352  0.269 (multiplicity 4)
Tm  0.000  0.133  0.417 (multiplicity 4)
Lu  0.000  0.315  0.620 (multiplicity 4)
Ni  0.000  0.238  0.929 (multiplicity 4)
Te  0.000  0.000  0.663 (multiplicity 2)
Te  0.000  0.500  0.765 (multiplicity 2)

=====

Quick one: most stable of them? <x>

=====

<w>
Entry from the Open Quantum Materials Database: Y2Er2TmLu2Ni2Te2 after structural relaxation (GGA-PBE).

The volume is 558 Å³ per cell. The total magnetization is 0.02 μB per formula unit.

Cell: 3.812 15.436 9.490 Å, 90.00 90.00 90.00°
Space group Imm2 (No. 44)
Unique sites:
Y  0.000  0.131  0.000 (multiplicity 4)
Er  0.000  0.315  0.201 (multiplicity 4)
Tm  0.000  0.000  0.581 (multiplicity 2)
Lu  0.000  0.353  0.852 (multiplicity 4)
Ni  0.000  0.236  0.509 (multiplicity 4)
Te  0.000  0.000  0.247 (multiplicity 2)
Te  0.000  0.500  0.344 (multiplicity 2)

=====

<x>
Entry from the Open Quantum Materials Database: Y2Er2TmLu2Ni2Te2 after structural relaxation (GGA-PBE).

The volume is 562 Å³ per cell. The total magnetization is 0.02 μB per formula unit.

Cell: 3.827 15.452 9.501 Å, 90.00 90.00 90.00°
Space group Imm2 (No. 44)
Unique sites:
Y  0.000  0.132  0.000 (multiplicity 4)
Er  0.000  0.352  0.853 (multiplicity 4)
Tm  0.000  0.000  0.582 (multiplicity 2)
Lu  0.000  0.315  0.201 (multiplicity 4)
Ni  0.000  0.236  0.512 (multiplicity 4)
Te  0.000  0.000  0.248 (multiplicity 2)
Te  0.000  0.500  0.344 (multiplicity 2)

=====

<y>
Entry from the Open Quantum Materials Database: Y2Er2TmLu2Ni2Te2 after structural relaxation (GGA-PBE).

The volume is 561 Å³ per cell. The total magnetization is 0.01 μB per formula unit.

Cell: 3.815 15.456 9.522 Å, 90.00 90.00 90.00°
Space group Imm2 (No. 44)
Unique sites:
Y  0.000  0.185  0.000 (multiplicity 4)
Er  0.000  0.368  0.798 (multiplicity 4)
Tm  0.000  0.500  0.377 (multiplicity 2)
Lu  0.000  0.147  0.650 (multiplicity 4)
Ni  0.000  0.262  0.304 (multiplicity 4)
Te  0.000  0.000  0.144 (multiplicity 2)
Te  0.000  0.500  0.043 (multiplicity 2)

=====

Quick one: most stable of them? <x>

=====

<w>
Entry from the Open Quantum Materials Database: Y2Er2Tm2LuNi2Te2 after structural relaxation (GGA-PBE).

The volume is 562 Å³ per cell. The total magnetization is 0.01 μB per formula unit.

Cell: 3.820 15.481 9.508 Å, 90.00 90.00 90.00°
Space group Imm2 (No. 44)
Unique sites:
Y  0.000  0.132  0.000 (multiplicity 4)
Er  0.000  0.353  0.852 (multiplicity 4)
Tm  0.000  0.315  0.201 (multiplicity 4)
Lu  0.000  0.000  0.582 (multiplicity 2)
Ni  0.000  0.237  0.510 (multiplicity 4)
Te  0.000  0.000  0.247 (multiplicity 2)
Te  0.000  0.500  0.345 (multiplicity 2)

=====

<x>
Entry from the Open Quantum Materials Database: Y2Er2Tm2LuNi2Te2 after structural relaxation (GGA-PBE).

The volume is 567 Å³ per cell. The total magnetization is 0.00 μB per formula unit.

Cell: 3.824 15.521 9.551 Å, 90.00 90.00 90.00°
Space group Imm2 (No. 44)
Unique sites:
Y  0.000  0.184  0.000 (multiplicity 4)
Er  0.000  0.146  0.650 (multiplicity 4)
Tm  0.000  0.367  0.797 (multiplicity 4)
Lu  0.000  0.500  0.377 (multiplicity 2)
Ni  0.000  0.261  0.303 (multiplicity 4)
Te  0.000  0.000  0.144 (multiplicity 2)
Te  0.000  0.500  0.040 (multiplicity 2)

=====

Quick one: most stable of them? <w>

=====

<w>
Entry from the Open Quantum Materials Database: Y2Er2Tm2LuNi2Te2 after structural relaxation (GGA-PBE).

The volume is 566 Å³ per cell. The total magnetization is 0.01 μB per formula unit.

Cell: 3.831 15.514 9.514 Å, 90.00 90.00 90.00°
Space group Imm2 (No. 44)
Unique sites:
Y  0.000  0.146  0.000 (multiplicity 4)
Er  0.000  0.368  0.149 (multiplicity 4)
Tm  0.000  0.184  0.351 (multiplicity 4)
Lu  0.000  0.500  0.732 (multiplicity 2)
Ni  0.000  0.261  0.660 (multiplicity 4)
Te  0.000  0.000  0.495 (multiplicity 2)
Te  0.000  0.500  0.395 (multiplicity 2)

=====

<x>
Entry from the Open Quantum Materials Database: Y2Er2Tm2LuNi2Te2 after structural relaxation (GGA-PBE).

The volume is 567 Å³ per cell. The total magnetization is 0.01 μB per formula unit.

Cell: 3.828 15.518 9.542 Å, 90.00 90.00 90.00°
Space group Imm2 (No. 44)
Unique sites:
Y  0.000  0.184  0.000 (multiplicity 4)
Er  0.000  0.368  0.798 (multiplicity 4)
Tm  0.000  0.146  0.649 (multiplicity 4)
Lu  0.000  0.500  0.379 (multiplicity 2)
Ni  0.000  0.262  0.306 (multiplicity 4)
Te  0.000  0.000  0.144 (multiplicity 2)
Te  0.000  0.500  0.044 (multiplicity 2)

=====

Quick one: most stable of them? <w>

=====

<w>
Entry from the Open Quantum Materials Database: Y2Er2Lu3Ni2Te2 after structural relaxation (GGA-PBE).

The volume is 559 Å³ per cell. The total magnetization is 0.00 μB per formula unit.

Cell: 3.818 15.421 9.491 Å, 90.00 90.00 90.00°
Space group Imm2 (No. 44)
Unique sites:
Y  0.000  0.132  0.000 (multiplicity 4)
Er  0.000  0.353  0.853 (multiplicity 4)
Lu  0.000  0.000  0.582 (multiplicity 2)
Lu  0.000  0.315  0.201 (multiplicity 4)
Ni  0.000  0.236  0.511 (multiplicity 4)
Te  0.000  0.000  0.248 (multiplicity 2)
Te  0.000  0.500  0.343 (multiplicity 2)

=====

<x>
Entry from the Open Quantum Materials Database: Y2Er2Lu3Ni2Te2 after structural relaxation (GGA-PBE).

The volume is 559 Å³ per cell. The total magnetization is 0.01 μB per formula unit.

Cell: 3.810 15.421 9.512 Å, 90.00 90.00 90.00°
Space group Imm2 (No. 44)
Unique sites:
Y  0.000  0.131  0.000 (multiplicity 4)
Er  0.000  0.314  0.200 (multiplicity 4)
Lu  0.000  0.000  0.579 (multiplicity 2)
Lu  0.000  0.353  0.855 (multiplicity 4)
Ni  0.000  0.234  0.507 (multiplicity 4)
Te  0.000  0.000  0.249 (multiplicity 2)
Te  0.000  0.500  0.342 (multiplicity 2)

=====

<y>
Entry from the Open Quantum Materials Database: Y2Er2Lu3Ni2Te2 after structural relaxation (GGA-PBE).

The volume is 564 Å³ per cell. The total magnetization is 0.00 μB per formula unit.

Cell: 3.823 15.467 9.531 Å, 90.00 90.00 90.00°
Space group Imm2 (No. 44)
Unique sites:
Y  0.000  0.184  0.000 (multiplicity 4)
Er  0.000  0.146  0.649 (multiplicity 4)
Lu  0.000  0.367  0.796 (multiplicity 4)
Lu  0.000  0.500  0.377 (multiplicity 2)
Ni  0.000  0.260  0.304 (multiplicity 4)
Te  0.000  0.000  0.145 (multiplicity 2)
Te  0.000  0.500  0.039 (multiplicity 2)

=====

Quick one: most stable of them? <w>

=====

<w>
Entry from the Open Quantum Materials Database: Y2Er2Lu3Ni2Te2 after structural relaxation (GGA-PBE).

The volume is 560 Å³ per cell. The total magnetization is 0.00 μB per formula unit.

Cell: 3.823 15.434 9.484 Å, 90.00 90.00 90.00°
Space group Imm2 (No. 44)
Unique sites:
Y  0.000  0.147  0.000 (multiplicity 4)
Er  0.000  0.367  0.149 (multiplicity 4)
Lu  0.000  0.185  0.351 (multiplicity 4)
Lu  0.000  0.500  0.731 (multiplicity 2)
Ni  0.000  0.261  0.661 (multiplicity 4)
Te  0.000  0.000  0.495 (multiplicity 2)
Te  0.000  0.500  0.395 (multiplicity 2)

=====

<x>
Entry from the Open Quantum Materials Database: Y2Er2Lu3Ni2Te2 after structural relaxation (GGA-PBE).

The volume is 558 Å³ per cell. The total magnetization is 0.01 μB per formula unit.

Cell: 3.821 15.431 9.468 Å, 90.00 90.00 90.00°
Space group Imm2 (No. 44)
Unique sites:
Y  0.000  0.146  0.000 (multiplicity 4)
Er  0.000  0.184  0.352 (multiplicity 4)
Lu  0.000  0.366  0.148 (multiplicity 4)
Lu  0.000  0.500  0.731 (multiplicity 2)
Ni  0.000  0.259  0.661 (multiplicity 4)
Te  0.000  0.000  0.498 (multiplicity 2)
Te  0.000  0.500  0.391 (multiplicity 2)

=====

Quick one: most stable of them? <w>